(1)
The following is a DFT calculation (PBE-GGA) of a relaxed LiScAg2 crystal.

Unit cell a=6.623 b=6.623 c=6.623 alpha=90.00 beta=90.00 gamma=90.00
Space group F-43m (No. 216)
Symmetry-distinct sites (fractional):
Li  0.000  0.000  0.000
Sc  0.250  0.250  0.250
Ag  0.000  0.000  0.500
Ag  0.250  0.250  0.750

Summary:
The calculation puts the formation energy at -0.12 eV per atom. The value obtained for the energy is -3.61 eV per atom.


(2)
The following is a DFT calculation (PBE-GGA) of a relaxed Zn5Au2 crystal.

Unit cell a=14.129 b=4.705 c=7.246 alpha=90.00 beta=101.10 gamma=90.00
Space group C2/c (No. 15)
Symmetry-distinct sites (fractional):
Zn  0.000  0.169  0.250
Zn  0.072  0.329  0.924
Zn  0.193  0.313  0.269
Au  0.123  0.176  0.592

Summary:
The calculation puts the formation energy at -0.15 eV per atom. The value obtained for the energy is -1.99 eV per atom.


(3)
The following is a DFT calculation (PBE-GGA) of a relaxed Li2MoAs crystal.

Unit cell a=5.009 b=9.438 c=2.741 alpha=90.00 beta=108.98 gamma=90.00
Space group C2/m (No. 12)
Symmetry-distinct sites (fractional):
Li  0.250  0.250  0.000
Mo  0.000  0.000  0.500
As  0.000  0.500  0.500

Summary:
The calculation puts the formation energy at 0.00 eV per atom. The value obtained for the energy is -4.83 eV per atom.


(4)
The following is a DFT calculation (PBE-GGA) of a relaxed Ac2PuCu3Ge4 crystal.

Unit cell a=4.458 b=4.458 c=10.978 alpha=90.00 beta=90.00 gamma=90.00
Space group P-4m2 (No. 115)
Symmetry-distinct sites (fractional):
Ac  0.000  0.500  0.231
Pu  0.000  0.000  0.500
Cu  0.000  0.500  0.889
Cu  0.500  0.500  0.500
Ge  0.000  0.000  0.000
Ge  0.000  0.500  0.662
Ge  0.500  0.500  0.000

Summary:
The calculation puts the formation energy at -0.41 eV per atom. The value obtained for the energy is -5.74 eV per atom.


(5)
The following is a DFT calculation (PBE-GGA) of a relaxed Mn2InPd8 crystal.

Unit cell a=4.220 b=6.964 c=12.079 alpha=90.00 beta=90.00 gamma=90.00
Space group Immm (No. 71)
Symmetry-distinct sites (fractional):
Mn  0.000  0.000  0.195
In  0.000  0.000  0.500
Pd  0.000  0.195  0.000
Pd  0.000  0.285  0.343
Pd  0.000  0.500  0.152

Summary:
The distance to the lowest polymorph of the same formula is 70.1 meV/atom. The calculation puts the formation energy at -0.22 eV per atom. The value obtained for the energy is -5.91 eV per atom.


(6)
The following is a DFT calculation (PBE-GGA) of a relaxed Cu2NiOs crystal.

Unit cell a=2.569 b=3.703 c=5.234 alpha=90.00 beta=90.00 gamma=90.00
Space group Pmm2 (No. 25)
Symmetry-distinct sites (fractional):
Cu  0.000  0.000  0.000
Cu  0.500  0.500  0.234
Ni  0.000  0.000  0.505
Os  0.500  0.500  0.726

Summary:
The distance to the lowest polymorph of the same formula is 76.6 meV/atom. The calculation puts the formation energy at 0.22 eV per atom. The value obtained for the energy is -6.08 eV per atom.


(7)
The following is a DFT calculation (PBE-GGA) of a relaxed VBiIrOs2 crystal.

Unit cell a=4.700 b=4.700 c=5.268 alpha=90.00 beta=90.00 gamma=90.00
Space group P4/mmm (No. 123)
Symmetry-distinct sites (fractional):
V  0.000  0.000  0.000
Bi  0.500  0.500  0.000
Ir  0.500  0.500  0.500
Os  0.000  0.500  0.500

Summary:
The calculation puts the formation energy at 2.14 eV per atom. The value obtained for the energy is -6.72 eV per atom.


(8)
The following is a DFT calculation (PBE-GGA) of a relaxed Tl2VOs crystal.

Unit cell a=6.681 b=6.681 c=6.681 alpha=90.00 beta=90.00 gamma=90.00
Space group Fm-3m (No. 225)
Symmetry-distinct sites (fractional):
Tl  0.250  0.250  0.250
V  0.000  0.000  0.000
Os  0.000  0.000  0.500

Summary:
The distance to the lowest polymorph of the same formula is 0.0 meV/atom. The calculation puts the formation energy at 0.84 eV per atom. The value obtained for the energy is -5.43 eV per atom.


(9)
The following is a DFT calculation (PBE-GGA) of a relaxed AcLa2Au crystal.

Unit cell a=7.503 b=10.837 c=6.797 alpha=90.00 beta=90.00 gamma=90.00
Space group Pnma (No. 62)
Symmetry-distinct sites (fractional):
Ac  0.024  0.250  0.141
La  0.187  0.052  0.665
Au  0.107  0.750  0.401

Summary:
The distance to the lowest polymorph of the same formula is 14.7 meV/atom. The calculation puts the formation energy at -0.41 eV per atom. The value obtained for the energy is -4.72 eV per atom.


(10)
The following is a DFT calculation (PBE-GGA) of a relaxed CaHfSi2 crystal.

Unit cell a=4.901 b=4.901 c=17.818 alpha=90.00 beta=90.00 gamma=90.00
Space group I-42d (No. 122)
Symmetry-distinct sites (fractional):
Ca  0.000  0.000  0.000
Hf  0.000  0.000  0.500
Si  0.096  0.250  0.625

Summary:
The distance to the lowest polymorph of the same formula is 260.9 meV/atom. For the uncorrected formation energy, the calculation gives 0.169 eV/atom. The value obtained for the energy is -5.53 eV per atom.


(11)
The following is a DFT calculation (PBE-GGA) of a relaxed TaMn2Cu crystal.

Unit cell a=3.701 b=3.701 c=8.040 alpha=90.00 beta=90.00 gamma=90.00
Space group I-4m2 (No. 119)
Symmetry-distinct sites (fractional):
Ta  0.000  0.000  0.000
Mn  0.000  0.000  0.500
Mn  0.000  0.500  0.250
Cu  0.000  0.500  0.750

Summary:
The calculation puts the formation energy at 0.09 eV per atom. The value obtained for the energy is -8.48 eV per atom.


(12)
The following is a DFT calculation (PBE-GGA) of a relaxed Ac5Ir2Pd2 crystal.

Unit cell a=15.596 b=8.271 c=8.199 alpha=90.00 beta=90.00 gamma=90.00
Space group Cmce (No. 64)
Symmetry-distinct sites (fractional):
Ac  0.000  0.000  0.000
Ac  0.132  0.168  0.339
Ir  0.000  0.135  0.634
Pd  0.203  0.000  0.000

Summary:
The calculation puts the formation energy at -0.68 eV per atom. The value obtained for the energy is -6.08 eV per atom.


(13)
The following is a DFT calculation (PBE-GGA) of a relaxed Rb2NpTlSe4 crystal.

Unit cell a=8.010 b=4.352 c=8.186 alpha=90.00 beta=107.76 gamma=90.00
Space group P2/m (No. 10)
Symmetry-distinct sites (fractional):
Rb  0.000  0.000  0.000
Rb  0.500  0.500  0.000
Np  0.000  0.500  0.500
Tl  0.500  0.000  0.500
Se  0.201  0.000  0.692
Se  0.215  0.500  0.305

Summary:
For the uncorrected formation energy, the calculation gives -0.984 eV/atom. The value obtained for the energy is -4.88 eV per atom.


(14)
The following is a DFT calculation (PBE-GGA) of a relaxed ThPd3Au3 crystal.

Unit cell a=7.8779 b=7.8779 c=14.7023 alpha=90.00 beta=90.00 gamma=120.00
Space group R-3 (No. 148, hexagonal axes)
Symmetry-distinct sites (fractional):
Th  0.0000  0.0000  0.2358
Pd  0.0510  0.2440  0.9218
Au  0.0261  0.2310  0.4198

Summary:
The distance to the lowest polymorph of the same formula is 0.0 meV/atom. The calculation puts the formation energy at -0.49 eV per atom. The value obtained for the energy is -5.18 eV per atom.


(15)
The following is a DFT calculation (PBE-GGA) of a relaxed Mg6Hg12Pb crystal.

Unit cell a=13.1449 b=13.1449 c=9.5047 alpha=90.00 beta=90.00 gamma=120.00
Space group R-3m (No. 166, hexagonal axes)
Symmetry-distinct sites (fractional):
Mg  0.0643  0.5321  0.2330
Hg  0.0000  0.3862  0.5000
Hg  0.0821  0.1642  0.2872
Pb  0.0000  0.0000  0.0000

Summary:
The distance to the lowest polymorph of the same formula is 19.3 meV/atom. The calculation puts the formation energy at -0.07 eV per atom. The value obtained for the energy is -0.96 eV per atom.


(16)
The following is a DFT calculation (PBE-GGA) of a relaxed HoBi2Ir crystal.

Unit cell a=3.6581 b=3.6581 c=29.8192 alpha=90.00 beta=90.00 gamma=120.00
Space group R-3m (No. 166, hexagonal axes)
Symmetry-distinct sites (fractional):
Ho  0.0000  0.0000  0.0000
Bi  0.0000  0.0000  0.1064
Ir  0.0000  0.0000  0.5000

Summary:
The calculation puts the formation energy at 0.16 eV per atom. The value obtained for the energy is -5.14 eV per atom.


(17)
The following is a DFT calculation (PBE-GGA) of a relaxed Ho4Pb2O crystal.

Unit cell a=4.569 b=4.569 c=16.916 alpha=90.00 beta=90.00 gamma=90.00
Space group I4/mmm (No. 139)
Symmetry-distinct sites (fractional):
Ho  0.000  0.000  0.173
Ho  0.000  0.500  0.000
Pb  0.000  0.000  0.360
O  0.000  0.000  0.000

Summary:
For the uncorrected formation energy, the calculation gives -1.146 eV/atom. The value obtained for the energy is -5.53 eV per atom.


(18)
The following is a DFT calculation (PBE-GGA) of a relaxed Ir2Au crystal.

Unit cell a=2.791 b=14.356 c=4.705 alpha=90.00 beta=90.00 gamma=90.00
Space group Cmcm (No. 63)
Symmetry-distinct sites (fractional):
Ir  0.000  0.064  0.250
Ir  0.000  0.278  0.750
Au  0.000  0.394  0.250

Summary:
The distance to the lowest polymorph of the same formula is 221.4 meV/atom. The calculation puts the formation energy at 0.44 eV per atom. The value obtained for the energy is -6.56 eV per atom.


(19)
The following is a DFT calculation (PBE-GGA) of a relaxed SrIn2IO8 crystal.

Unit cell a=4.747 b=7.074 c=4.874 alpha=90.00 beta=90.71 gamma=90.00
Space group P2/m (No. 10)
Symmetry-distinct sites (fractional):
Sr  0.000  0.000  0.000
In  0.500  0.263  0.500
I  0.000  0.500  0.000
O  0.217  0.302  0.848
O  0.251  0.500  0.319
O  0.252  0.000  0.463

Summary:
For the uncorrected formation energy, the calculation gives -1.145 eV/atom. The value obtained for the energy is -5.18 eV per atom.


(20)
The following is a DFT calculation (PBE-GGA) of a relaxed Tm4CoNi crystal.

Unit cell a=6.583 b=6.583 c=12.455 alpha=90.00 beta=90.00 gamma=90.00
Space group I4/mcm (No. 140)
Symmetry-distinct sites (fractional):
Tm  0.183  0.317  0.131
Co  0.000  0.000  0.250
Ni  0.000  0.000  0.000

Summary:
The distance to the lowest polymorph of the same formula is 0.0 meV/atom. The calculation puts the formation energy at -0.19 eV per atom. The value obtained for the energy is -5.32 eV per atom.


(21)
The following is a DFT calculation (PBE-GGA) of a relaxed Al2Ag5Pd12 crystal.

Unit cell a=12.657 b=7.637 c=6.435 alpha=90.00 beta=91.79 gamma=90.00
Space group C2/m (No. 12)
Symmetry-distinct sites (fractional):
Al  0.000  0.209  0.000
Ag  0.000  0.500  0.500
Ag  0.198  0.000  0.993
Ag  0.240  0.500  0.579
Pd  0.048  0.000  0.303
Pd  0.089  0.500  0.893
Pd  0.122  0.202  0.663
Pd  0.151  0.311  0.244

Summary:
The calculation puts the formation energy at -0.18 eV per atom. The value obtained for the energy is -4.61 eV per atom.


(22)
The following is a DFT calculation (PBE-GGA) of a relaxed AcDy2Be crystal.

Unit cell a=3.6068 b=3.6068 c=34.7018 alpha=90.00 beta=90.00 gamma=120.00
Space group R-3m (No. 166, hexagonal axes)
Symmetry-distinct sites (fractional):
Ac  0.0000  0.0000  0.0000
Dy  0.0000  0.0000  0.4179
Be  0.0000  0.0000  0.5000

Summary:
The distance to the lowest polymorph of the same formula is 659.3 meV/atom. The calculation puts the formation energy at 0.78 eV per atom. The value obtained for the energy is -3.48 eV per atom.


(23)
The following is a DFT calculation (PBE-GGA) of a relaxed LaSeI3 crystal.

Unit cell a=6.297 b=6.297 c=6.297 alpha=90.00 beta=90.00 gamma=90.00
Space group Pm-3m (No. 221)
Symmetry-distinct sites (fractional):
La  0.000  0.000  0.000
Se  0.500  0.500  0.500
I  0.000  0.000  0.500

Summary:
The distance to the lowest polymorph of the same formula is 0.0 meV/atom. For the uncorrected formation energy, the calculation gives -0.641 eV/atom. The value obtained for the energy is -3.25 eV per atom.